Entry 1:
{"formula": "LiErInBi", "functional": "PBE", "state": "optimized geometry", "lattice": [[-4.934, -1.849, -0.313], [-0.987, -5.079, 1.048], [-2.603, -1.331, 4.395]], "species": ["In", "Li", "Bi", "Er"], "fractional_positions": [[0.000, 0.000, 0.000], [0.250, 0.250, 0.250], [0.500, 0.500, 0.500], [0.750, 0.750, 0.750]], "dos_at_fermi_per_ev_cell": 3.15, "energy_ev_per_atom": -3.61, "space_group": "F-43m (216)", "formation_enthalpy_0k_mev_per_atom": -332}

***

Entry 2:
{"formula": "TlSi3O", "functional": "PBE", "state": "optimized geometry", "lattice": [[5.226, 0.000, 0.000], [0.000, 5.226, 0.000], [0.000, 0.000, 5.226]], "species": ["Tl", "Si", "Si", "Si", "O"], "fractional_positions": [[0.000, 0.000, 0.000], [0.000, 0.500, 0.000], [0.000, 0.000, 0.500], [0.500, 0.000, 0.000], [0.500, 0.500, 0.500]], "dos_at_fermi_per_ev_cell": 3.55, "e_above_lowest_polymorph_ev_per_fu": 7.85, "energy_ev_per_atom": -2.81, "space_group": "Pm-3m (221)", "e_form_raw_ev_per_atom": 1.912}

***

Entry 3:
{"formula": "MnAuSe2", "functional": "PBE", "state": "optimized geometry", "lattice": [[-1.477, -0.915, -2.410], [-0.361, -1.785, 2.348], [-8.154, 5.483, 2.917]], "species": ["Au", "Mn", "Se", "Se"], "fractional_positions": [[0.500, 0.500, 0.250], [0.500, 0.500, 0.750], [0.000, 0.000, 0.929], [0.000, 0.000, 0.571]], "dos_at_fermi_per_ev_cell": 2.36, "energy_ev_per_atom": -4.73, "space_group": "Cmmm (65)", "e_form_raw_ev_per_atom": 0.120}

***

Entry 4:
{"formula": "NdNi", "functional": "PBE", "state": "optimized geometry", "lattice": [[-1.571, -1.621, 3.358], [-2.412, -3.239, -0.254], [1.303, -3.600, 1.310]], "species": ["Ni", "Nd"], "fractional_positions": [[0.500, 0.500, 0.500], [0.000, 0.000, 0.000]], "dos_at_fermi_per_ev_cell": 1.03, "energy_ev_per_atom": -5.43, "space_group": "Fm-3m (225)", "formation_enthalpy_0k_mev_per_atom": -151}

***

Entry 5:
{"formula": "CdInGa2Co", "functional": "PBE", "state": "optimized geometry", "lattice": [[-0.541, 3.084, -3.356], [-3.411, 1.967, 2.358], [3.371, 3.092, 2.298]], "species": ["Cd", "Co", "Ga", "Ga", "In"], "fractional_positions": [[0.000, 0.000, 0.500], [0.000, 0.000, 0.000], [0.000, 0.500, 0.000], [0.500, 0.000, 0.000], [0.500, 0.500, 0.500]], "dos_at_fermi_per_ev_cell": 2.20, "e_above_lowest_polymorph_ev_per_fu": 0.24, "energy_ev_per_atom": -3.33, "space_group": "P4/mmm (123)", "formation_enthalpy_0k_mev_per_atom": 35}

***

Entry 6:
{"formula": "CePmCrN4", "functional": "PBE", "state": "optimized geometry", "lattice": [[-2.243, 3.265, 4.071], [-4.139, 1.292, -3.317], [-2.495, -6.401, 0.620]], "species": ["Ce", "Ce", "Pm", "Pm", "Cr", "Cr", "N", "N", "N", "N", "N", "N", "N", "N"], "fractional_positions": [[0.789, 0.750, 0.462], [0.211, 0.250, 0.538], [0.714, 0.750, 0.932], [0.286, 0.250, 0.068], [0.236, 0.750, 0.296], [0.764, 0.250, 0.704], [0.968, 0.498, 0.758], [0.032, 0.998, 0.242], [0.032, 0.502, 0.242], [0.968, 0.002, 0.758], [0.441, 0.750, 0.150], [0.559, 0.250, 0.850], [0.405, 0.750, 0.558], [0.595, 0.250, 0.442]], "dos_at_fermi_per_ev_cell": 11.78, "energy_ev_per_atom": -8.72, "space_group": "P2_1/m (11)", "e_form_raw_ev_per_atom": -1.061}